[1]
Material: AsAu
Method: DFT, GGA-PBE
State: relaxed

E_tot	-3.838	eV/atom

The structure in CIF format:
```
data_AsAu
_chemical_formula_sum 'As4 Au4'
_space_group_name_H-M_alt 'P m m a'
_space_group_IT_number 51
_cell_length_a 5.339
_cell_length_b 3.735
_cell_length_c 7.696
_cell_angle_alpha 90.00
_cell_angle_beta 90.00
_cell_angle_gamma 90.00
loop_
_space_group_symop_operation_xyz
'x,y,z'
'-x,-y,-z'
'-x+1/2,-y,z'
'x+1/2,y,-z'
'x+1/2,-y,-z'
'-x+1/2,y,z'
'-x,y,-z'
'x,-y,z'
loop_
_atom_site_label
_atom_site_fract_x
_atom_site_fract_y
_atom_site_fract_z
As1 0.250 0.000 0.000
As2 0.250 0.500 0.240
Au1 0.000 0.000 0.500
Au2 0.250 0.500 0.739
```

---

[2]
Material: AsAu9
Method: DFT, GGA-PBE
State: relaxed

relative energy among the computed polymorphs	2.7	meV/atom

The structure in CIF format:
```
data_AsAu9
_chemical_formula_sum 'As2 Au18'
_space_group_name_H-M_alt 'P 4/n m m'
_space_group_IT_number 129
_cell_length_a 2.883
_cell_length_b 2.883
_cell_length_c 48.498
_cell_angle_alpha 90.00
_cell_angle_beta 90.00
_cell_angle_gamma 90.00
loop_
_space_group_symop_operation_xyz
'x,y,z'
'-x,-y,-z'
'-y+1/2,x,z'
'y+1/2,-x,-z'
'-x+1/2,-y+1/2,z'
'x+1/2,y+1/2,-z'
'y,-x+1/2,z'
'-y,x+1/2,-z'
'x+1/2,-y,-z'
'-x+1/2,y,z'
'-y,-x,-z'
'y,x,z'
'-x,y+1/2,-z'
'x,-y+1/2,z'
'y+1/2,x+1/2,-z'
'-y+1/2,-x+1/2,z'
loop_
_atom_site_label
_atom_site_fract_x
_atom_site_fract_y
_atom_site_fract_z
As1 0.250 0.250 0.081
Au1 0.250 0.250 0.170
Au2 0.250 0.250 0.258
Au3 0.250 0.250 0.347
Au4 0.250 0.250 0.434
Au5 0.250 0.250 0.522
Au6 0.250 0.250 0.609
Au7 0.250 0.250 0.697
Au8 0.250 0.250 0.786
Au9 0.250 0.250 0.876
```

---

[3]
Material: AsAu
Method: DFT, GGA-PBE
State: relaxed

E_tot	-3.989	eV/atom

The structure in CIF format:
```
data_AsAu
_chemical_formula_sum 'As2 Au2'
_space_group_name_H-M_alt 'P 42/m m c'
_space_group_IT_number 131
_space_group_name_Hall '-P 4c 2'
_cell_length_a 3.980
_cell_length_b 3.980
_cell_length_c 6.180
_cell_angle_alpha 90.00
_cell_angle_beta 90.00
_cell_angle_gamma 90.00
loop_
_atom_site_label
_atom_site_fract_x
_atom_site_fract_y
_atom_site_fract_z
As1 0.000 0.000 0.250
Au1 0.000 0.500 0.000
```

---

[4]
Material: AsAu
Method: DFT, GGA-PBE
State: relaxed

E_tot	-3.725	eV/atom

The structure in CIF format:
```
data_AsAu
_chemical_formula_sum 'As4 Au4'
_space_group_name_H-M_alt 'F -4 3 m'
_space_group_IT_number 216
_space_group_name_Hall 'F -4 2 3'
_cell_length_a 5.813
_cell_length_b 5.813
_cell_length_c 5.813
_cell_angle_alpha 90.00
_cell_angle_beta 90.00
_cell_angle_gamma 90.00
loop_
_atom_site_label
_atom_site_fract_x
_atom_site_fract_y
_atom_site_fract_z
As1 0.000 0.000 0.000
Au1 0.250 0.250 0.750
```